A relaxed TbAsAu crystal. Source: the Alexandria database, functional PBE.

Values from the calculation:
formation energy	-0.699	eV/atom
space group	No. 107

abc: 3.922 3.922 5.190
angles: 112.20 112.20 90.00
Fractional positions:
1 Tb 0.291 0.291 0.582
2 As 0.936 0.936 0.871
3 Au 0.623 0.623 0.247

A relaxed TbAsAu crystal. Source: the Alexandria database, functional PBE.

Values from the calculation:
formation energy	-0.867	eV/atom
space group	No. 156

abc: 4.078 4.334 4.334
angles: 120.00 90.00 90.00
Fractional positions:
1 Tb 0.669 0.333 0.667
2 As 0.082 0.000 0.000
3 Au 0.249 0.667 0.333

A relaxed Tb4Te2AsAu crystal. Source: the Alexandria database, functional PBE.

Values from the calculation:
formation energy (no corrections)	-1.26	eV/atom
space group	No. 10

abc: 4.195 7.468 7.493
angles: 71.40 90.00 90.00
Fractional positions:
1 Tb 0.000 0.725 0.756
2 Tb 0.000 0.275 0.244
3 Tb 0.500 0.724 0.264
4 Tb 0.500 0.276 0.736
5 Te 0.000 0.000 0.000
6 Te 0.500 0.000 0.500
7 As 0.000 0.500 0.500
8 Au 0.500 0.500 0.000

A relaxed Tb8Te4As3Au crystal. Source: the Alexandria database, functional PBE.

Values from the calculation:
formation energy (no corrections)	-1.38	eV/atom
space group	No. 166

abc: 8.498 8.598 8.498
angles: 119.62 120.00 90.00
Fractional positions:
1 Tb 0.242 0.723 0.981
2 Tb 0.242 0.723 0.484
3 Tb 0.261 0.282 0.521
4 Tb 0.739 0.723 0.981
5 Tb 0.261 0.277 0.019
6 Tb 0.739 0.718 0.479
7 Tb 0.758 0.277 0.516
8 Tb 0.758 0.277 0.019
9 Te 0.500 0.000 0.000
10 Te 0.500 0.000 0.500
11 Te 0.000 0.000 0.000
12 Te 0.000 0.000 0.500
13 As 0.500 0.500 0.000
14 As 0.500 0.500 0.500
15 As 0.000 0.500 0.500
16 Au 0.000 0.500 0.000

A relaxed TcAs2Au crystal. Source: the Alexandria database, functional PBE.

Values from the calculation:
formation energy	0.203	eV/atom
distance to the lowest polymorph of the same formula	0.1677	eV/atom
space group	No. 71

abc: 6.447 6.447 6.447
angles: 153.89 136.42 51.52
Fractional positions:
1 As 0.076 0.076 0.000
2 As 0.424 0.424 0.000
3 Au 0.750 0.250 0.500
4 Tc 0.250 0.750 0.500

A relaxed TcAs2Au crystal. Source: the Alexandria database, functional PBE.

Values from the calculation:
formation energy	0.091	eV/atom
distance to the lowest polymorph of the same formula	0.0559	eV/atom
space group	No. 44

abc: 6.866 6.866 6.866
angles: 154.69 148.03 41.21
Fractional positions:
1 As 0.062 0.062 0.000
2 As 0.782 0.282 0.500
3 Au 0.437 0.437 0.000
4 Tc 0.219 0.719 0.500

A relaxed TcAsAu crystal. Source: the Alexandria database, functional PBE.

Values from the calculation:
formation energy	0.223	eV/atom
distance to the lowest polymorph of the same formula	0.0623	eV/atom
space group	No. 156

abc: 4.169 4.169 3.413
angles: 90.00 90.00 120.00
Fractional positions:
1 As 0.000 0.000 0.805
2 Au 0.667 0.333 0.342
3 Tc 0.333 0.667 0.854

A relaxed Tc2AsAu2 crystal. Source: the Alexandria database, functional PBE.

Values from the calculation:
formation energy	0.197	eV/atom
space group	No. 127

abc: 6.279 6.279 4.388
angles: 90.00 90.00 90.00
Fractional positions:
1 As 0.000 0.000 0.000
2 As 0.500 0.500 0.000
3 Au 0.168 0.668 0.500
4 Au 0.668 0.832 0.500
5 Au 0.832 0.332 0.500
6 Au 0.332 0.168 0.500
7 Tc 0.364 0.864 0.000
8 Tc 0.864 0.636 0.000
9 Tc 0.636 0.136 0.000
10 Tc 0.136 0.364 0.000

A relaxed TcAs3Au crystal. Source: the Alexandria database, functional PBE.

Values from the calculation:
formation energy	0.548	eV/atom
distance to the lowest polymorph of the same formula	0.0000	eV/atom
space group	No. 221

abc: 4.804 4.804 4.804
angles: 90.00 90.00 90.00
Fractional positions:
1 As 0.000 0.500 0.000
2 As 0.000 0.000 0.500
3 As 0.500 0.000 0.000
4 Au 0.500 0.500 0.500
5 Tc 0.000 0.000 0.000

A relaxed TcAs2Au crystal. Source: the Alexandria database, functional PBE.

Values from the calculation:
formation energy	0.330	eV/atom
distance to the lowest polymorph of the same formula	0.2950	eV/atom
space group	No. 10

abc: 4.535 2.657 6.513
angles: 113.87 90.00 90.00
Fractional positions:
1 As 0.000 0.982 0.978
2 As 0.000 0.518 0.522
3 Au 0.500 0.250 0.250
4 Tc 0.500 0.750 0.750

A relaxed TcAs4Au crystal. Source: the Alexandria database, functional PBE.

Values from the calculation:
formation energy	0.799	eV/atom
space group	No. 216

abc: 5.451 5.451 5.451
angles: 60.00 60.00 60.00
Fractional positions:
1 Tc 0.000 0.000 0.000
2 As 0.873 0.376 0.376
3 As 0.376 0.376 0.873
4 As 0.376 0.873 0.376
5 As 0.376 0.376 0.376
6 Au 0.750 0.750 0.750

A relaxed Tc4AsAu crystal. Source: the Alexandria database, functional PBE.

Values from the calculation:
formation energy	0.611	eV/atom
space group	No. 216

abc: 5.191 5.191 5.191
angles: 60.00 60.00 60.00
Fractional positions:
1 Tc 0.876 0.375 0.375
2 Tc 0.375 0.375 0.876
3 Tc 0.375 0.876 0.375
4 Tc 0.375 0.375 0.375
5 As 0.750 0.750 0.750
6 Au 0.000 0.000 0.000

Record order is preserved below.
Final energy: -14.7, -15.2, -42.8, -88.9, -22.1, -22.6, -17.6, -61.9, -24.8, -21.6, -27.4, -45.7 eV/cell